# 1
Entry from Alexandria via LeMat-Bulk: an optimized crystal structure of Zn2InP (GGA-PBE).

## Properties
- calculated formation energy (kcal/mol of atoms) = 6.1
- M_tot (Bohr magnetons per cell) = 0.00

a = 3.964 Å, b = 3.964 Å, c = 9.372 Å
α = 90.00°, β = 90.00°, γ = 90.00°
Space group I-4m2 (No. 119)
Inequivalent atoms, fractional coordinates:
Zn 0.000 0.000 0.000 x2
Zn 0.000 0.500 0.250 x2
In 0.000 0.500 0.750 x2
P 0.000 0.000 0.500 x2



# 2
Entry from Alexandria via LeMat-Bulk: an optimized crystal structure of Pr2SmHoO6 (GGA-PBE).

## Properties
- uncorrected formation energy (eV per formula unit) = -33.73
- M_tot (Bohr magnetons per cell) = 0.00

a = 6.0296 Å, b = 6.0296 Å, c = 15.4518 Å
α = 90.00°, β = 90.00°, γ = 120.00°
Space group R3 (No. 146, hexagonal axes)
Inequivalent atoms, fractional coordinates:
Pr 0.0000 0.0000 0.0000 x3
Pr 0.0000 0.0000 0.4985 x3
Sm 0.0000 0.0000 0.2224 x3
Ho 0.0000 0.0000 0.7193 x3
O 0.0532 0.3607 0.7820 x9
O 0.0573 0.6839 0.2838 x9



# 3
Entry from Alexandria via LeMat-Bulk: an optimized crystal structure of PaZn2Sn (GGA-PBE).

## Properties
- calculated formation energy (kcal/mol of atoms) = 1.4
- M_tot (Bohr magnetons per cell) = 0.71

a = 3.546 Å, b = 3.546 Å, c = 6.745 Å
α = 90.00°, β = 90.00°, γ = 90.00°
Space group P4/mmm (No. 123)
Inequivalent atoms, fractional coordinates:
Pa 0.000 0.000 0.000 x1
Zn 0.500 0.500 0.271 x2
Sn 0.000 0.000 0.500 x1



# 4
Entry from Alexandria via LeMat-Bulk: an optimized crystal structure of CsAgBr3 (GGA-PBE).

## Properties
- uncorrected formation energy (eV per formula unit) = -4.09
- M_tot (Bohr magnetons per cell) = 0.09

a = 6.751 Å, b = 14.447 Å, c = 7.801 Å
α = 90.00°, β = 90.00°, γ = 90.00°
Space group Imma (No. 74)
Inequivalent atoms, fractional coordinates:
Cs 0.000 0.000 0.000 x4
Ag 0.250 0.250 0.250 x4
Br 0.000 0.110 0.415 x8
Br 0.000 0.250 0.988 x4



Number 1: V 73.6 Å³/f.u., final energy -2.409 eV/atom. Number 2: V 162.2 Å³/f.u., final energy -8.234 eV/atom. Number 3: V 84.8 Å³/f.u., final energy -3.950 eV/atom. Number 4: V 190.2 Å³/f.u., final energy -2.562 eV/atom.